Entry 1:
First-principles (GGA-PBE) data for an optimized crystal structure of BeAgSbI2, as listed in Alexandria.

Energy relative to the lowest polymorph listed for this composition (meV per atom): 91
Energy relative to the elements, uncorrected (meV/atom): 561

a = 5.2292 Å, b = 4.8161 Å, c = 5.2292 Å
α = 90.00°, β = 90.00°, γ = 90.00°
Closest atoms and distances in Å follow each position.
Fractional coordinates of all 5 atoms:
Ag  0.0000  0.5000  0.0000  2 Be 2.41
Sb  0.5000  0.5000  0.5000  8 I 3.55, 4 Ag 3.70
I  0.0000  0.0000  0.5000  2 Be 2.61
I  0.5000  0.0000  0.0000  2 Be 2.61
Be  0.0000  0.0000  0.0000  2 Ag 2.41, 4 I 2.61


Entry 2:
First-principles (GGA-PBE) data for an optimized crystal structure of BeAgSb2I, as listed in Alexandria.

Energy relative to the lowest polymorph listed for this composition (meV per atom): 0
Energy relative to the elements, uncorrected (meV/atom): 577

a = 4.8662 Å, b = 4.8662 Å, c = 5.6079 Å
α = 90.00°, β = 90.00°, γ = 90.00°
Closest atoms and distances in Å follow each position.
Fractional coordinates of all 5 atoms:
Sb  0.5000  0.0000  0.0000  2 Be 2.43
Ag  0.5000  0.5000  0.5000  4 I 3.44, 8 Sb 3.71
Be  0.0000  0.0000  0.0000  4 Sb 2.43
I  0.0000  0.0000  0.5000  2 Be 2.80
Sb  0.0000  0.5000  0.0000  2 Be 2.43


Entry 3:
First-principles (GGA-PBE) data for an optimized crystal structure of BeAg2SeI, as listed in Alexandria.

Energy relative to the elements, uncorrected (meV/atom): 704

a = 4.8056 Å, b = 4.8965 Å, c = 4.8056 Å
α = 90.00°, β = 90.00°, γ = 90.00°
Closest atoms and distances in Å follow each position.
Fractional coordinates of all 5 atoms:
Ag  0.5000  0.0000  0.0000  2 Be 2.40
Se  0.5000  0.5000  0.5000  4 I 3.40, 8 Ag 3.43
Be  0.0000  0.0000  0.0000  4 Ag 2.40, 2 I 2.45
I  0.0000  0.5000  0.0000  2 Be 2.45
Ag  0.0000  0.0000  0.5000  2 Be 2.40


Entry 4:
First-principles (GGA-PBE) data for an optimized crystal structure of SrBeAg2I, as listed in Alexandria.

Energy relative to the elements, uncorrected (meV/atom): 720

a = 5.6254 Å, b = 5.6254 Å, c = 4.8964 Å
α = 90.00°, β = 90.00°, γ = 90.00°
Closest atoms and distances in Å follow each position.
Fractional coordinates of all 5 atoms:
I  0.0000  0.0000  0.0000  2 Be 2.45
Ag  0.5000  0.0000  0.0000  2 I 2.81
Sr  0.5000  0.5000  0.5000  8 Ag 3.73, 4 Be 3.98
Ag  0.0000  0.5000  0.0000  2 I 2.81
Be  0.0000  0.0000  0.5000  2 I 2.45


Entry 5:
First-principles (GGA-PBE) data for an optimized crystal structure of BeAgTeI2, as listed in Alexandria.

Energy relative to the lowest polymorph listed for this composition (meV per atom): 508
Energy relative to the elements, uncorrected (meV/atom): 854

a = 5.5637 Å, b = 5.5637 Å, c = 5.6574 Å
α = 90.00°, β = 90.00°, γ = 90.00°
Closest atoms and distances in Å follow each position.
Fractional coordinates of all 5 atoms:
Ag  0.0000  0.0000  0.0000  4 I 2.78, 2 Te 2.83
I  0.0000  0.5000  0.0000  2 Ag 2.78
Be  0.5000  0.5000  0.5000  4 Te 3.93, 8 I 3.97
Te  0.0000  0.0000  0.5000  2 Ag 2.83
I  0.5000  0.0000  0.0000  2 Ag 2.78


Entry 6:
First-principles (GGA-PBE) data for an optimized crystal structure of BeAgTe2I, as listed in Alexandria.

Energy relative to the lowest polymorph listed for this composition (meV per atom): 615
Energy relative to the elements, uncorrected (meV/atom): 980

a = 5.4890 Å, b = 5.4890 Å, c = 5.5452 Å
α = 90.00°, β = 90.00°, γ = 90.00°
Closest atoms and distances in Å follow each position.
Fractional coordinates of all 5 atoms:
Te  0.0000  0.5000  0.0000  2 Ag 2.74
I  0.0000  0.0000  0.5000  2 Ag 2.77
Te  0.5000  0.0000  0.0000  2 Ag 2.74
Be  0.5000  0.5000  0.5000  4 I 3.88, 8 Te 3.90
Ag  0.0000  0.0000  0.0000  4 Te 2.74, 2 I 2.77


Entry 7:
First-principles (GGA-PBE) data for an optimized crystal structure of BeAgTe2I, as listed in Alexandria.

Energy relative to the lowest polymorph listed for this composition (meV per atom): 0
Energy relative to the elements, uncorrected (meV/atom): 365

a = 4.6939 Å, b = 4.6939 Å, c = 7.9225 Å
α = 90.00°, β = 90.00°, γ = 90.00°
Closest atoms and distances in Å follow each position.
Fractional coordinates of all 5 atoms:
Be  0.0000  0.0000  0.0000  4 Te 2.35
Ag  0.5000  0.5000  0.5000  4 I 3.32
I  0.0000  0.0000  0.5000  4 Ag 3.32
Te  0.5000  0.0000  0.0000  2 Be 2.35
Te  0.0000  0.5000  0.0000  2 Be 2.35


Entry 8:
First-principles (GGA-PBE) data for an optimized crystal structure of BeAgTeI2, as listed in Alexandria.

Energy relative to the lowest polymorph listed for this composition (meV per atom): 0
Energy relative to the elements, uncorrected (meV/atom): 347

a = 5.4264 Å, b = 5.4264 Å, c = 4.9453 Å
α = 90.00°, β = 90.00°, γ = 90.00°
Closest atoms and distances in Å follow each position.
Fractional coordinates of all 5 atoms:
I  0.5000  0.0000  0.0000  2 Be 2.71
Ag  0.5000  0.5000  0.5000  8 I 3.67, 4 Te 3.84
Te  0.0000  0.0000  0.5000  2 Be 2.47
Be  0.0000  0.0000  0.0000  2 Te 2.47, 4 I 2.71
I  0.0000  0.5000  0.0000  2 Be 2.71


Entry 9:
First-principles (GGA-PBE) data for an optimized crystal structure of Ti2BeAgI, as listed in Alexandria.

Energy relative to the elements, uncorrected (meV/atom): 1448

a = 4.9710 Å, b = 5.1502 Å, c = 4.9710 Å
α = 90.00°, β = 90.00°, γ = 90.00°
Closest atoms and distances in Å follow each position.
Fractional coordinates of all 5 atoms:
I  0.0000  0.0000  0.0000  4 Ti 2.49, 2 Ag 2.58
Ag  0.0000  0.5000  0.0000  2 I 2.58
Ti  0.0000  0.0000  0.5000  2 I 2.49
Be  0.5000  0.5000  0.5000  4 Ag 3.52, 8 Ti 3.58
Ti  0.5000  0.0000  0.0000  2 I 2.49


Entry 10:
First-principles (GGA-PBE) data for an optimized crystal structure of BeZnAg2I, as listed in Alexandria.

Energy relative to the elements, uncorrected (meV/atom): 1226

a = 5.5143 Å, b = 7.2470 Å, c = 5.5143 Å
α = 90.00°, β = 90.00°, γ = 90.00°
Closest atoms and distances in Å follow each position.
Fractional coordinates of all 5 atoms:
I  0.0000  0.0000  0.0000  4 Ag 2.76
Ag  0.0000  0.0000  0.5000  2 I 2.76
Zn  0.0000  0.5000  0.0000  2 I 3.62, 4 Be 3.90
Ag  0.5000  0.0000  0.0000  2 I 2.76
Be  0.5000  0.5000  0.5000  4 Zn 3.90


Entry 11:
First-principles (GGA-PBE) data for an optimized crystal structure of BeIn2Ag, as listed in Alexandria.

Calculated formation energy (meV per atom): 321

a = 3.0371 Å, b = 3.0371 Å, c = 8.3206 Å
α = 90.00°, β = 90.00°, γ = 90.04°
Closest atoms and distances in Å follow each position.
Fractional coordinates of all 4 atoms:
Be  0.5000  0.5000  0.7500  8 In 2.85, 4 Be 3.04
In  0.0000  0.0000  0.9754  4 Be 2.85, 4 In 3.04, 4 Ag 3.14
In  0.0000  0.0000  0.5246  4 Be 2.85, 4 In 3.04, 4 Ag 3.14
Ag  0.5000  0.5000  0.2500  4 Ag 3.04, 8 In 3.14


Entry 12:
First-principles (GGA-PBE) data for an optimized crystal structure of BeInAg4, as listed in Alexandria.

Calculated formation energy (meV per atom): 377

a = 5.4762 Å, b = 5.4762 Å, c = 5.4762 Å
α = 60.00°, β = 60.00°, γ = 60.00°
Closest atoms and distances in Å follow each position.
Fractional coordinates of all 6 atoms:
In  0.0000  0.0000  0.0000  12 Ag 3.21, 4 Be 3.35
Ag  0.3753  0.3753  0.3753  6 Ag 2.73-2.74
Be  0.7500  0.7500  0.7500  12 Ag 3.21, 4 In 3.35
Ag  0.3753  0.3753  0.8741  6 Ag 2.73-2.74
Ag  0.3753  0.8741  0.3753  6 Ag 2.73-2.74
Ag  0.8741  0.3753  0.3753  6 Ag 2.73-2.74


Entry 13:
First-principles (GGA-PBE) data for an optimized crystal structure of BeIn2Ag, as listed in Alexandria.

Calculated formation energy (meV per atom): 369

a = 4.3271 Å, b = 4.3277 Å, c = 4.1344 Å
α = 90.00°, β = 90.00°, γ = 90.00°
Closest atoms and distances in Å follow each position.
Fractional coordinates of all 4 atoms:
In  0.5000  0.5000  0.0000  4 Be 2.99, 4 Ag 2.99, 4 In 3.06
In  0.0000  0.0000  0.0000  4 Ag 2.99, 4 Be 2.99, 4 In 3.06
Be  0.0000  0.5000  0.5000  8 In 2.99, 4 Ag 3.06
Ag  0.5000  0.0000  0.5000  8 In 2.99, 4 Be 3.06


Entry 14:
First-principles (GGA-PBE) data for an optimized crystal structure of BeIn4Ag, as listed in Alexandria.

Calculated formation energy (meV per atom): 638

a = 6.0238 Å, b = 6.0238 Å, c = 6.0238 Å
α = 60.00°, β = 60.00°, γ = 60.00°
Closest atoms and distances in Å follow each position.
Fractional coordinates of all 6 atoms:
Ag  0.7500  0.7500  0.7500  12 In 3.53, 4 Be 3.69
In  0.3749  0.3749  0.3749  6 In 3.01
In  0.3749  0.8753  0.3749  6 In 3.01
In  0.3749  0.3749  0.8753  6 In 3.01
In  0.8753  0.3749  0.3749  6 In 3.01
Be  0.0000  0.0000  0.0000  12 In 3.53, 4 Ag 3.69


Number 1: E -11.0 eV per cell. Number 2: E -13.5 eV per cell. Number 3: E -10.9 eV per cell. Number 4: E -9.1 eV per cell. Number 5: E -8.5 eV per cell. Number 6: E -9.5 eV per cell. Number 7: E -12.6 eV per cell. Number 8: E -11.1 eV per cell. Number 9: E -16.7 eV per cell. Number 10: E -6.1 eV per cell. Number 11: E -10.8 eV per cell. Number 12: E -15.6 eV per cell. Number 13: E -10.6 eV per cell. Number 14: E -13.7 eV per cell.